# SrCuO2

SrCuO2 after structural relaxation (PBEsol, Alexandria).

Results
Total energy, eV/cell: -23.69
D(E_F), states/eV/atom: 0.13
E_form (uncorrected), meV per atom: -1755
Calculated density, g cm⁻³: 5.9

a = 3.887 Å, b = 3.887 Å, c = 3.424 Å
α = 90.00°, β = 90.00°, γ = 90.00°
Fractional coordinates of all 4 atoms:
Sr: 0.000 0.000 0.000
Cu: 0.500 0.500 0.500
O: 0.000 0.500 0.500
O: 0.500 0.000 0.500

=====

# ZnCrSiO5

ZnCrSiO5 after structural relaxation (PBEsol, Alexandria).

Results
Total energy, eV/cell: -120.44
D(E_F), states/eV/atom: 0.34
E_form (uncorrected), meV per atom: -2050
Calculated density, g cm⁻³: 4.4

a = 5.243 Å, b = 5.303 Å, c = 6.927 Å
α = 107.25°, β = 107.77°, γ = 97.98°
Fractional coordinates of all 16 atoms:
Zn: 0.241 0.368 0.263
Zn: 0.759 0.632 0.737
Cr: 0.500 0.000 0.000
Cr: 0.500 0.000 0.500
Si: 0.180 0.371 0.753
Si: 0.820 0.629 0.247
O: 0.148 0.756 0.394
O: 0.175 0.695 0.846
O: 0.282 0.255 0.951
O: 0.373 0.332 0.602
O: 0.423 0.054 0.244
O: 0.577 0.946 0.756
O: 0.627 0.668 0.398
O: 0.718 0.745 0.049
O: 0.825 0.305 0.154
O: 0.852 0.244 0.606

=====

# Ca2MnCr

Ca2MnCr after structural relaxation (PBEsol, Alexandria).

Results
Total energy, eV/cell: -84.18
D(E_F), states/eV/atom: 0.92
Offset from the most stable computed form, eV per atom: 0.355
Calculated density, g cm⁻³: 3.2

a = 7.299 Å, b = 7.299 Å, c = 7.299 Å
α = 90.00°, β = 90.00°, γ = 90.00°
Fractional coordinates of all 16 atoms:
Ca: 0.250 0.250 0.250
Ca: 0.250 0.250 0.750
Ca: 0.250 0.750 0.250
Ca: 0.250 0.750 0.750
Ca: 0.750 0.250 0.250
Ca: 0.750 0.250 0.750
Ca: 0.750 0.750 0.250
Ca: 0.750 0.750 0.750
Mn: 0.000 0.000 0.000
Mn: 0.000 0.500 0.500
Mn: 0.500 0.000 0.500
Mn: 0.500 0.500 0.000
Cr: 0.000 0.000 0.500
Cr: 0.000 0.500 0.000
Cr: 0.500 0.000 0.000
Cr: 0.500 0.500 0.500

=====

# CdCuNi

CdCuNi after structural relaxation (PBEsol, Alexandria).

Results
Total energy, eV/cell: -22.97
D(E_F), states/eV/atom: 0.49
Calculated density, g cm⁻³: 9.6

a = 2.894 Å, b = 2.894 Å, c = 9.649 Å
α = 90.00°, β = 90.00°, γ = 90.00°
Fractional coordinates of all 6 atoms:
Cd: 0.000 0.000 0.000
Cd: 0.500 0.500 0.500
Cu: 0.000 0.000 0.315
Cu: 0.500 0.500 0.815
Ni: 0.000 0.000 0.679
Ni: 0.500 0.500 0.179

=====

# RbBa3Pt

RbBa3Pt after structural relaxation (PBEsol, Alexandria).

Results
Total energy, eV/cell: -15.87
D(E_F), states/eV/atom: 0.68
Calculated density, g cm⁻³: 4.5

a = 6.328 Å, b = 6.328 Å, c = 6.328 Å
α = 90.00°, β = 90.00°, γ = 90.00°
Fractional coordinates of all 5 atoms:
Rb: 0.000 0.000 0.000
Ba: 0.000 0.500 0.500
Ba: 0.500 0.000 0.500
Ba: 0.500 0.500 0.000
Pt: 0.500 0.500 0.500

=====

# LiNbH2Cl

LiNbH2Cl after structural relaxation (PBEsol, Alexandria).

Results
Total energy, eV/cell: -22.37
D(E_F), states/eV/atom: 0.56
Calculated density, g cm⁻³: 3.5

a = 3.675 Å, b = 3.675 Å, c = 4.879 Å
α = 90.00°, β = 90.00°, γ = 90.00°
Fractional coordinates of all 5 atoms:
Li: 0.000 0.000 0.000
Nb: 0.500 0.500 0.500
H: 0.000 0.500 0.500
H: 0.500 0.000 0.500
Cl: 0.500 0.500 0.000

=====

# ZrTcBi2

ZrTcBi2 after structural relaxation (PBEsol, Alexandria).

Results
Total energy, eV/cell: -112.21
D(E_F), states/eV/atom: 1.00
Calculated density, g cm⁻³: 12.0

a = 6.958 Å, b = 6.958 Å, c = 6.958 Å
α = 90.00°, β = 90.00°, γ = 90.00°
Fractional coordinates of all 16 atoms:
Zr: 0.000 0.000 0.000
Zr: 0.000 0.500 0.500
Zr: 0.500 0.000 0.500
Zr: 0.500 0.500 0.000
Tc: 0.000 0.000 0.500
Tc: 0.000 0.500 0.000
Tc: 0.500 0.000 0.000
Tc: 0.500 0.500 0.500
Bi: 0.250 0.250 0.250
Bi: 0.250 0.250 0.750
Bi: 0.250 0.750 0.250
Bi: 0.250 0.750 0.750
Bi: 0.750 0.250 0.250
Bi: 0.750 0.250 0.750
Bi: 0.750 0.750 0.250
Bi: 0.750 0.750 0.750

=====

# CdTcPt

CdTcPt after structural relaxation (PBEsol, Alexandria).

Results
Total energy, eV/cell: -71.58
D(E_F), states/eV/atom: 1.00
Offset from the most stable computed form, eV per atom: 0.188
Calculated density, g cm⁻³: 12.1

a = 6.063 Å, b = 6.063 Å, c = 6.063 Å
α = 90.00°, β = 90.00°, γ = 90.00°
Fractional coordinates of all 12 atoms:
Cd: 0.000 0.000 0.000
Cd: 0.000 0.500 0.500
Cd: 0.500 0.000 0.500
Cd: 0.500 0.500 0.000
Tc: 0.000 0.000 0.500
Tc: 0.000 0.500 0.000
Tc: 0.500 0.000 0.000
Tc: 0.500 0.500 0.500
Pt: 0.250 0.250 0.750
Pt: 0.250 0.750 0.250
Pt: 0.750 0.250 0.250
Pt: 0.750 0.750 0.750

=====

# LaMgTa2

LaMgTa2 after structural relaxation (PBEsol, Alexandria).

Results
Total energy, eV/cell: -59.50
D(E_F), states/eV/atom: 0.96
Calculated density, g cm⁻³: 10.3

a = 4.243 Å, b = 4.243 Å, c = 9.408 Å
α = 90.00°, β = 90.00°, γ = 90.00°
Fractional coordinates of all 8 atoms:
La: 0.000 0.000 0.000
La: 0.500 0.500 0.500
Mg: 0.000 0.000 0.500
Mg: 0.500 0.500 0.000
Ta: 0.000 0.500 0.250
Ta: 0.000 0.500 0.750
Ta: 0.500 0.000 0.250
Ta: 0.500 0.000 0.750

=====

# Li2ScAg2

Li2ScAg2 after structural relaxation (PBEsol, Alexandria).

Results
Total energy, eV/cell: -35.43
D(E_F), states/eV/atom: 0.44
Offset from the most stable computed form, eV per atom: 0.027
Calculated density, g cm⁻³: 5.1

a = 3.627 Å, b = 3.627 Å, c = 13.530 Å
α = 90.00°, β = 90.00°, γ = 90.00°
Fractional coordinates of all 10 atoms:
Li: 0.000 0.500 0.250
Li: 0.000 0.500 0.750
Li: 0.500 0.000 0.250
Li: 0.500 0.000 0.750
Sc: 0.000 0.000 0.000
Sc: 0.500 0.500 0.500
Ag: 0.000 0.000 0.398
Ag: 0.000 0.000 0.602
Ag: 0.500 0.500 0.102
Ag: 0.500 0.500 0.898

=====

# CsCu3Ir

CsCu3Ir after structural relaxation (PBEsol, Alexandria).

Results
Total energy, eV/cell: -19.50
D(E_F), states/eV/atom: 1.15
Calculated density, g cm⁻³: 7.8

a = 4.794 Å, b = 4.794 Å, c = 4.794 Å
α = 90.00°, β = 90.00°, γ = 90.00°
Fractional coordinates of all 5 atoms:
Cs: 0.000 0.000 0.000
Cu: 0.000 0.500 0.500
Cu: 0.500 0.000 0.500
Cu: 0.500 0.500 0.000
Ir: 0.500 0.500 0.500

=====

# TaTl2N

TaTl2N after structural relaxation (PBEsol, Alexandria).

Results
Total energy, eV/cell: -78.33
D(E_F), states/eV/atom: 1.04
E_form (uncorrected), meV per atom: 1689
Calculated density, g cm⁻³: 13.3

a = 6.705 Å, b = 6.705 Å, c = 6.705 Å
α = 90.00°, β = 90.00°, γ = 90.00°
Fractional coordinates of all 16 atoms:
Ta: 0.000 0.000 0.000
Ta: 0.000 0.500 0.500
Ta: 0.500 0.000 0.500
Ta: 0.500 0.500 0.000
Tl: 0.250 0.250 0.250
Tl: 0.250 0.250 0.750
Tl: 0.250 0.750 0.250
Tl: 0.250 0.750 0.750
Tl: 0.750 0.250 0.250
Tl: 0.750 0.250 0.750
Tl: 0.750 0.750 0.250
Tl: 0.750 0.750 0.750
N: 0.000 0.000 0.500
N: 0.000 0.500 0.000
N: 0.500 0.000 0.000
N: 0.500 0.500 0.500